Below is crystalline Al2CdIr at its relaxed geometry, with properties calculated at the PBE level.

Properties
- Energy of formation: -0.058 eV per atom
- Total moment: 0.00 Bohr magnetons per cell

a = 3.1502 Å, b = 4.3332 Å, c = 4.7710 Å
α = 90.00°, β = 90.00°, γ = 90.00°
Last column: nearest neighbours and their distance in Å.
Atoms (fractional coordinates):
Al 0.0000 0.0000 0.0000  4 Ir 2.68, 4 Al 2.86
Al 0.5000 0.0000 0.5000  4 Cd 2.68, 4 Al 2.86
Cd 0.0000 0.5000 0.5000  4 Al 2.68, 4 Ir 2.86
Ir 0.5000 0.5000 0.0000  4 Al 2.68, 4 Cd 2.86